Here is a relaxed Hf3FeGe3 crystal from Alexandria via LeMat-Bulk. Energies are from PBE-GGA.

The structure in extended XYZ format:
```
14
Lattice="5.001 -1.960 0.000 5.001 1.960 0.000 -4.536 0.000 12.258" Properties=species:S:1:pos:R:3 pbc="T T T"
Hf -1.449 0.000 4.697
Hf -3.163 0.000 11.246
Hf 1.385 0.000 2.788
Hf 4.081 0.000 9.470
Hf 8.629 0.000 1.012
Hf 6.915 0.000 7.561
Fe -0.026 0.000 7.219
Fe 5.492 0.000 5.039
Ge 1.611 0.000 5.486
Ge -0.465 0.000 11.354
Ge 1.232 0.000 9.314
Ge 4.234 0.000 2.944
Ge 5.931 0.000 0.904
Ge 3.856 0.000 6.772
```

Calculated values
Volume: 17.2 Å³/atom
Formation energy from the elements: -0.61 eV per atom

=====

Here is a relaxed Hf4Fe2Ge5 crystal from Alexandria via LeMat-Bulk. Energies are from PBE-GGA.

The structure in extended XYZ format:
```
22
Lattice="-4.115 8.478 2.643 4.115 -8.478 2.643 4.115 8.478 -2.643" Properties=species:S:1:pos:R:3 pbc="T T T"
Hf 5.985 1.033 0.000
Hf 0.840 2.458 0.000
Hf 4.955 6.020 0.000
Hf 1.870 7.445 0.000
Hf 2.246 1.033 2.643
Hf -0.840 2.458 2.643
Hf 3.276 6.020 2.643
Hf -1.870 7.445 2.643
Fe 4.115 -3.373 1.322
Fe 4.115 3.373 1.322
Fe 0.000 5.105 1.322
Fe 0.000 11.851 1.322
Ge 3.307 1.422 0.000
Ge 2.444 -4.807 2.643
Ge 0.000 0.000 1.322
Ge 2.444 4.807 0.000
Ge 3.307 -1.422 2.643
Ge 0.808 9.900 0.000
Ge 1.672 3.671 2.643
Ge 0.000 0.000 3.965
Ge 1.672 13.285 0.000
Ge 0.808 7.056 2.643
```

Calculated values
Volume: 16.8 Å³/atom
Formation energy from the elements: -0.48 eV per atom

=====

Here is a relaxed Hf2FeGe crystal from Alexandria via LeMat-Bulk. Energies are from PBE-GGA.

The structure in extended XYZ format:
```
4
Lattice="1.618 0.934 8.023 -1.618 0.934 8.023 0.000 -1.868 8.023" Properties=species:S:1:pos:R:3 pbc="T T T"
Hf 0.000 0.000 5.813
Hf 0.000 0.000 18.254
Fe 0.000 0.000 12.034
Ge 0.000 0.000 0.000
```

Calculated values
Volume: 18.2 Å³/atom
Formation energy from the elements: -0.11 eV per atom

=====

Here is a relaxed HfFe6Ge6 crystal from Alexandria via LeMat-Bulk. Energies are from PBE-GGA.

The structure in extended XYZ format:
```
13
Lattice="-2.535 4.026 4.374 2.535 -4.026 4.374 2.535 4.026 -4.374" Properties=species:S:1:pos:R:3 pbc="T T T"
Hf 0.000 0.000 0.000
Fe 1.267 2.013 -2.187
Fe 1.267 -2.013 2.187
Fe 2.535 2.041 0.000
Fe -1.267 2.013 2.187
Fe 1.267 2.013 2.187
Fe 0.000 1.985 4.374
Ge 2.535 0.000 1.428
Ge 0.000 0.000 2.909
Ge 0.000 2.769 0.000
Ge 0.000 5.284 0.000
Ge 0.000 0.000 5.839
Ge 0.000 4.026 2.946
```

Calculated values
Volume: 13.7 Å³/atom
Formation energy from the elements: -0.23 eV per atom
Distance to the lowest polymorph of the same formula: 2 meV per atom

=====

Here is a relaxed HfFeGeIr crystal from Alexandria via LeMat-Bulk. Energies are from PBE-GGA.

The structure in extended XYZ format:
```
4
Lattice="0.000 3.108 3.108 3.108 0.000 3.108 3.108 3.108 0.000" Properties=species:S:1:pos:R:3 pbc="T T T"
Hf 0.000 0.000 0.000
Fe 1.554 1.554 1.554
Ge 3.108 3.108 3.108
Ir 4.662 4.662 4.662
```

Calculated values
Volume: 15.0 Å³/atom
Formation energy from the elements: -0.44 eV per atom

=====

Here is a relaxed HfMg2FeGe crystal from Alexandria via LeMat-Bulk. Energies are from PBE-GGA.

The structure in extended XYZ format:
```
5
Lattice="4.693 0.000 0.000 0.000 4.693 0.000 0.000 0.000 4.642" Properties=species:S:1:pos:R:3 pbc="T T T"
Hf 0.000 0.000 0.000
Mg 0.000 2.347 2.321
Mg 2.347 0.000 2.321
Fe 0.000 0.000 2.321
Ge 2.347 2.347 0.000
```

Calculated values
Volume: 20.5 Å³/atom
Formation energy from the elements: 0.44 eV per atom

=====

Here is a relaxed Hf2FeGeMo crystal from Alexandria via LeMat-Bulk. Energies are from PBE-GGA.

The structure in extended XYZ format:
```
5
Lattice="4.732 0.000 0.000 0.000 4.732 0.000 0.000 0.000 4.294" Properties=species:S:1:pos:R:3 pbc="T T T"
Hf 0.000 2.366 0.000
Hf 2.366 0.000 0.000
Fe 0.000 0.000 0.000
Ge 0.000 0.000 2.147
Mo 2.366 2.366 2.147
```

Calculated values
Volume: 19.2 Å³/atom
Formation energy from the elements: 0.51 eV per atom

=====

Here is a relaxed HfFeNiGe crystal from Alexandria via LeMat-Bulk. Energies are from PBE-GGA.

The structure in extended XYZ format:
```
4
Lattice="0.000 3.033 3.033 3.033 0.000 3.033 3.033 3.033 0.000" Properties=species:S:1:pos:R:3 pbc="T T T"
Hf 0.000 0.000 0.000
Fe 4.549 4.549 4.549
Ni 1.516 1.516 1.516
Ge 3.033 3.033 3.033
```

Calculated values
Volume: 13.9 Å³/atom
Formation energy from the elements: -0.35 eV per atom